Version A
Material: BeHgSbI2
Method: DFT, GGA-PBE
State: optimized geometry

a b c (Å): 5.496 5.496 4.929
angles (deg): 90.00 90.00 90.00
Fractional positions:
I (0.500, 0.000, 0.000)
I (0.000, 0.500, 0.000)
Be (0.000, 0.000, 0.000)
Sb (0.000, 0.000, 0.500)
Hg (0.500, 0.500, 0.500)

Version B
Material: BeHgSbI2
Method: DFT, GGA-PBE
State: optimized geometry

a b c (Å): 5.976 5.976 5.687
angles (deg): 90.00 90.00 90.00
Site moments in Bohr magnetons follow the coordinates.
Fractional positions:
Sb (0.000, 0.000, 0.500)  0.48
I (0.000, 0.500, 0.000)  0.04
I (0.500, 0.000, 0.000)  0.04
Hg (0.000, 0.000, 0.000)  0.01
Be (0.500, 0.500, 0.500)  -0.06

Result of the stability comparison: version A is the most stable of them.

Version A
Material: BeHgSb2I
Method: DFT, GGA-PBE
State: optimized geometry

a b c (Å): 5.599 5.599 6.073
angles (deg): 90.00 90.00 90.00
Site moments in Bohr magnetons follow the coordinates.
Fractional positions:
I (0.000, 0.000, 0.500)  0.11
Hg (0.000, 0.000, 0.000)  0.01
Sb (0.500, 0.000, 0.000)  0.24
Sb (0.000, 0.500, 0.000)  0.24
Be (0.500, 0.500, 0.500)  0.00

Version B
Material: BeHgSb2I
Method: DFT, GGA-PBE
State: optimized geometry

a b c (Å): 4.988 4.988 5.550
angles (deg): 90.00 90.00 90.00
Fractional positions:
Sb (0.500, 0.000, 0.000)
Sb (0.000, 0.500, 0.000)
I (0.000, 0.000, 0.500)
Be (0.000, 0.000, 0.000)
Hg (0.500, 0.500, 0.500)

Result of the stability comparison: version B is the most stable of them.

Version A
Material: BeInHg2
Method: DFT, GGA-PBE
State: optimized geometry

a b c (Å): 5.386 5.386 5.386
angles (deg): 131.92 131.92 70.35
Fractional positions:
Hg (0.000, 0.000, 0.000)
Hg (0.500, 0.500, 0.000)
In (0.250, 0.750, 0.500)
Be (0.750, 0.250, 0.500)

Version B
Material: BeInHg2
Method: DFT, GGA-PBE
State: optimized geometry

a b c (Å): 8.377 8.377 6.467
angles (deg): 49.63 49.63 90.00
Fractional positions:
Hg (0.522, 0.125, 0.250)
Hg (0.228, 0.625, 0.250)
Hg (0.375, 0.478, 0.750)
Hg (0.875, 0.772, 0.750)
Be (0.500, 0.500, 0.000)
Be (0.250, 0.750, 0.500)
In (0.750, 0.250, 0.500)
In (0.000, 0.000, 0.000)

Result of the stability comparison: version B is the most stable of them.

Version A
Material: BeInHg2
Method: DFT, GGA-PBE
State: optimized geometry

a b c (Å): 4.981 4.981 4.981
angles (deg): 60.00 60.00 60.00
Fractional positions:
In (0.500, 0.500, 0.500)
Hg (0.750, 0.750, 0.750)
Hg (0.250, 0.250, 0.250)
Be (0.000, 0.000, 0.000)

Version B
Material: BeInHg2
Method: DFT, GGA-PBE
State: optimized geometry

a b c (Å): 4.309 4.410 4.410
angles (deg): 90.00 90.00 90.00
Fractional positions:
Hg (0.000, 0.500, 0.500)
Hg (0.000, 0.000, 0.000)
In (0.500, 0.500, 0.000)
Be (0.500, 0.000, 0.500)

Version C
Material: BeInHg2
Method: DFT, GGA-PBE
State: optimized geometry

a b c (Å): 3.344 3.344 8.654
angles (deg): 90.00 90.00 114.89
Fractional positions:
Hg (0.000, 0.000, 0.552)
Hg (0.000, 0.000, 0.948)
Be (0.500, 0.500, 0.750)
In (0.500, 0.500, 0.250)

Version D
Material: BeInHg2
Method: DFT, GGA-PBE
State: optimized geometry

a b c (Å): 5.941 5.941 5.941
angles (deg): 150.26 123.14 65.48
Fractional positions:
Be (0.250, 0.750, 0.500)
Hg (0.448, 0.448, 0.000)
Hg (0.052, 0.052, 0.000)
In (0.750, 0.250, 0.500)

Result of the stability comparison: version D is the most stable of them.

Version A
Material: BeInHg2
Method: DFT, GGA-PBE
State: optimized geometry

a b c (Å): 7.146 7.146 7.146
angles (deg): 155.65 145.43 42.74
Fractional positions:
In (0.433, 0.433, 0.000)
Be (0.242, 0.742, 0.500)
Hg (0.072, 0.072, 0.000)
Hg (0.754, 0.254, 0.500)

Version B
Material: BeInHg2
Method: DFT, GGA-PBE
State: optimized geometry

a b c (Å): 3.600 4.897 5.783
angles (deg): 61.28 90.00 90.00
Fractional positions:
In (0.500, 0.250, 0.250)
Hg (0.000, 0.581, 0.545)
Hg (0.000, 0.919, 0.955)
Be (0.500, 0.750, 0.750)

Result of the stability comparison: version A is the most stable of them.

Version A
Material: BeInHg2
Method: DFT, GGA-PBE
State: optimized geometry

a b c (Å): 3.111 3.111 8.713
angles (deg): 90.00 90.00 90.00
Fractional positions:
Be (0.500, 0.500, 0.768)
Hg (0.500, 0.500, 0.242)
Hg (0.000, 0.000, 0.939)
In (0.000, 0.000, 0.551)

Version B
Material: BeInHg2
Method: DFT, GGA-PBE
State: optimized geometry

a b c (Å): 5.429 5.429 5.429
angles (deg): 132.68 132.68 69.15
Fractional positions:
Be (0.750, 0.250, 0.500)
In (0.500, 0.500, 0.000)
Hg (0.250, 0.750, 0.500)
Hg (0.000, 0.000, 0.000)

Version C
Material: BeInHg2
Method: DFT, GGA-PBE
State: optimized geometry

a b c (Å): 3.203 3.200 8.161
angles (deg): 90.00 90.00 90.00
Fractional positions:
In (0.500, 0.500, 0.250)
Be (0.500, 0.500, 0.750)
Hg (0.000, 0.000, 0.940)
Hg (0.000, 0.000, 0.560)

Result of the stability comparison: version C is the most stable of them.

Version A
Material: BeInHg2
Method: DFT, GGA-PBE
State: optimized geometry

a b c (Å): 3.228 3.228 8.244
angles (deg): 90.00 90.00 97.29
Fractional positions:
In (0.000, 0.000, 0.548)
Hg (0.000, 0.000, 0.939)
Hg (0.500, 0.500, 0.243)
Be (0.500, 0.500, 0.770)

Version B
Material: BeInHg2
Method: DFT, GGA-PBE
State: optimized geometry

a b c (Å): 4.996 4.996 4.996
angles (deg): 60.00 60.00 60.00
Fractional positions:
Hg (0.000, 0.000, 0.000)
Hg (0.750, 0.750, 0.750)
Be (0.500, 0.500, 0.500)
In (0.250, 0.250, 0.250)

Version C
Material: BeInHg2
Method: DFT, GGA-PBE
State: optimized geometry

a b c (Å): 8.766 8.766 8.766
angles (deg): 22.12 22.12 22.12
Fractional positions:
In (0.250, 0.250, 0.250)
Be (0.750, 0.750, 0.750)
Hg (0.483, 0.483, 0.483)
Hg (0.017, 0.017, 0.017)

Version D
Material: BeInHg2
Method: DFT, GGA-PBE
State: optimized geometry

a b c (Å): 4.713 4.713 6.673
angles (deg): 72.01 72.01 38.65
Fractional positions:
Be (0.779, 0.779, 0.900)
Hg (0.067, 0.067, 0.853)
Hg (0.233, 0.233, 0.225)
In (0.421, 0.421, 0.523)

Result of the stability comparison: version D is the most stable of them.

Version A
Material: BeInHg2
Method: DFT, GGA-PBE
State: optimized geometry

a b c (Å): 5.009 6.382 3.246
angles (deg): 71.22 99.93 115.87
Fractional positions:
In (0.000, 0.500, 0.500)
Hg (0.000, 0.000, 0.000)
Hg (0.500, 0.000, 0.500)
Be (0.500, 0.500, 0.000)

Version B
Material: BeInHg2
Method: DFT, GGA-PBE
State: optimized geometry

a b c (Å): 4.621 4.621 4.240
angles (deg): 90.00 90.00 106.70
Fractional positions:
Hg (0.000, 0.000, 0.000)
Hg (0.500, 0.500, 0.000)
In (0.500, 0.000, 0.500)
Be (0.000, 0.500, 0.500)

Result of the stability comparison: version B is the most stable of them.

Version A
Material: BeInHg3
Method: DFT, GGA-PBE
State: optimized geometry

a b c (Å): 4.920 4.920 4.920
angles (deg): 90.00 90.00 90.00
Fractional positions:
Hg (0.000, 0.500, 0.000)
Hg (0.500, 0.000, 0.000)
Hg (0.000, 0.000, 0.500)
Be (0.000, 0.000, 0.000)
In (0.500, 0.500, 0.500)

Version B
Material: BeInHg3
Method: DFT, GGA-PBE
State: optimized geometry

a b c (Å): 5.711 5.711 5.711
angles (deg): 90.00 90.00 90.00
Fractional positions:
Hg (0.000, 0.500, 0.000)
Hg (0.000, 0.000, 0.500)
Hg (0.500, 0.000, 0.000)
Be (0.500, 0.500, 0.500)
In (0.000, 0.000, 0.000)

Result of the stability comparison: version A is the most stable of them.

Version A
Material: Be2In2Hg
Method: DFT, GGA-PBE
State: optimized geometry

a b c (Å): 6.633 6.633 4.138
angles (deg): 90.00 90.00 90.00
Fractional positions:
Be (0.380, 0.880, 0.000)
Be (0.620, 0.120, 0.000)
Be (0.120, 0.380, 0.000)
Be (0.880, 0.620, 0.000)
In (0.830, 0.330, 0.500)
In (0.170, 0.670, 0.500)
In (0.670, 0.830, 0.500)
In (0.330, 0.170, 0.500)
Hg (0.500, 0.500, 0.000)
Hg (0.000, 0.000, 0.000)

Version B
Material: Be2In2Hg
Method: DFT, GGA-PBE
State: optimized geometry

a b c (Å): 5.582 5.582 4.627
angles (deg): 90.00 90.00 90.00
Fractional positions:
Be (0.000, 0.000, 0.500)
Be (0.500, 0.500, 0.500)
In (0.500, 0.000, 0.000)
In (0.000, 0.500, 0.000)
Hg (0.000, 0.000, 0.000)

Result of the stability comparison: version A is the most stable of them.

Version A
Material: BeIn2Hg2
Method: DFT, GGA-PBE
State: optimized geometry

a b c (Å): 6.633 6.633 5.545
angles (deg): 90.00 90.00 90.00
Fractional positions:
In (0.171, 0.671, 0.500)
In (0.829, 0.329, 0.500)
In (0.671, 0.829, 0.500)
In (0.329, 0.171, 0.500)
Hg (0.818, 0.682, 0.000)
Hg (0.682, 0.182, 0.000)
Hg (0.318, 0.818, 0.000)
Hg (0.182, 0.318, 0.000)
Be (0.500, 0.500, 0.000)
Be (0.000, 0.000, 0.000)

Version B
Material: BeIn2Hg2
Method: DFT, GGA-PBE
State: optimized geometry

a b c (Å): 4.098 4.098 8.446
angles (deg): 75.96 75.96 90.00
Fractional positions:
Hg (0.411, 0.411, 0.179)
Hg (0.589, 0.589, 0.821)
Be (0.000, 0.000, 0.000)
In (0.750, 0.250, 0.500)
In (0.250, 0.750, 0.500)

Result of the stability comparison: version A is the most stable of them.

Version A
Material: BeVIn2Hg
Method: DFT, GGA-PBE
State: optimized geometry

a b c (Å): 4.810 4.557 4.810
angles (deg): 90.00 90.00 90.00
Site moments in Bohr magnetons follow the coordinates.
Fractional positions:
Be (0.000, 0.000, 0.000)  0.00
In (0.000, 0.000, 0.500)  0.00
In (0.500, 0.000, 0.000)  0.00
Hg (0.000, 0.500, 0.000)  0.01
V (0.500, 0.500, 0.500)  -0.11

Version B
Material: BeVIn2Hg
Method: DFT, GGA-PBE
State: optimized geometry

a b c (Å): 5.292 5.138 5.292
angles (deg): 90.00 90.00 90.00
Fractional positions:
V (0.000, 0.500, 0.000)
Hg (0.000, 0.000, 0.000)
In (0.000, 0.000, 0.500)
In (0.500, 0.000, 0.000)
Be (0.500, 0.500, 0.500)

Result of the stability comparison: version A is the most stable of them.